Record 1
A relaxed structure of Cu5Rh. Source: Alexandria, functional GGA-PBEsol.

Cell lengths 4.183, 6.664, 6.664 Å; angles 22.36, 90.00, 90.00 degrees
Sites, in units of the cell vectors:
1 Cu 0.000 0.000 0.000
2 Cu 0.000 0.330 0.330
3 Cu 0.000 0.666 0.666
4 Cu 0.500 0.117 0.117
5 Cu 0.500 0.778 0.778
6 Rh 0.500 0.449 0.449

Output
Total energy   -4.918 eV per atom
ΔH_f (0 K)   50 meV/atom

---

Record 2
A relaxed structure of Cu4Rh. Source: Alexandria, functional GGA-PBEsol.

Cell lengths 4.414, 4.414, 4.414 Å; angles 99.95, 99.95, 130.89 degrees
Sites, in units of the cell vectors:
1 Cu 0.096 0.698 0.794
2 Cu 0.302 0.096 0.398
3 Cu 0.698 0.904 0.602
4 Cu 0.904 0.302 0.206
5 Rh 0.500 0.500 0.000

Output
Total energy   -5.053 eV per atom
ΔH_f (0 K)   42 meV/atom

---

Record 3
A relaxed structure of Cu3Rh. Source: Alexandria, functional GGA-PBEsol.

Cell lengths 8.438, 8.438, 8.438 Å; angles 17.62, 17.62, 17.62 degrees
Sites, in units of the cell vectors:
1 Cu 0.000 0.000 0.000
2 Cu 0.253 0.253 0.253
3 Cu 0.747 0.747 0.747
4 Rh 0.500 0.500 0.500

Output
Total energy   -5.246 eV per atom
ΔH_f (0 K)   39 meV/atom

---

- total energy of number 2 (Cu4Rh)?
  -5.053 eV per atom